Here is a relaxed structure of TlSiIr2 from Alexandria via LeMat-Bulk. Energies are from PBE.

abc: 4.6548 7.7484 3.0123
angles: 67.13 90.00 134.81
Last column: nearest neighbours and their distance in Å.
Positions (direct):
Ir 0.0000 0.5000 0.5000  4 Si 2.77, 4 Tl 2.78, 4 Ir 3.00-3.01
Tl 0.5000 0.0000 0.5000  8 Ir 2.77-2.78, 2 Si 3.00, 2 Tl 3.01
Si 0.5000 0.5000 0.0000  8 Ir 2.77-2.78, 2 Tl 3.00, 2 Si 3.01
Ir 0.0000 0.0000 0.0000  4 Tl 2.77, 4 Si 2.78, 4 Ir 3.00-3.01

Properties
Its volume is 16.121 A^3/atom. Its density of states at the Fermi level is 0.78 states/eV/cell. The offset from the most stable computed form is 487 meV per atom. The calculation puts the density at 15.89 g cm⁻³. The total DFT energy (no corrections) is -6.0386 eV/atom. For the formation energy (no corrections), the calculation gives 0.34 eV/atom. For the total magnetization, the calculation gives 0.0 μB/f.u.